No. 1
Entry from Alexandria via LeMat-Bulk: crystalline TaTiVPd at its relaxed geometry (PBE-GGA).

Cell: 6.3179 6.3179 6.3179 Å, 90.00 90.00 90.00°
Space group F-43m (No. 216)
Inequivalent atoms, fractional coordinates:
Ta: 0.0000 0.0000 0.0000 (multiplicity 4)
Ti: 0.0000 0.0000 0.5000 (multiplicity 4)
V: 0.2500 0.2500 0.2500 (multiplicity 4)
Pd: 0.2500 0.2500 0.7500 (multiplicity 4)

Results
The calculation puts the calculated total energy at -138.21 eV for the cell shown. As for the magnetization: 0.01 μB per atom.

No. 2
Entry from Alexandria via LeMat-Bulk: crystalline TaTiPd2W at its relaxed geometry (PBE-GGA).

Cell: 4.7842 4.7842 4.7898 Å, 90.00 90.00 90.00°
Space group P4/mmm (No. 123)
Inequivalent atoms, fractional coordinates:
Ta: 0.0000 0.0000 0.0000 (multiplicity 1)
Ti: 0.5000 0.5000 0.0000 (multiplicity 1)
Pd: 0.0000 0.5000 0.5000 (multiplicity 2)
W: 0.0000 0.0000 0.5000 (multiplicity 1)

Results
The calculation puts the calculated total energy at -36.60 eV for the cell shown. The energy above the most stable polymorph in this dataset is 0.025 eV/atom. As for the magnetization: 0.00 μB per atom.

No. 3
Entry from Alexandria via LeMat-Bulk: crystalline TaTiPdW at its relaxed geometry (PBE-GGA).

Cell: 6.4016 6.4016 6.4016 Å, 90.00 90.00 90.00°
Space group F-43m (No. 216)
Inequivalent atoms, fractional coordinates:
Ta: 0.0000 0.0000 0.0000 (multiplicity 4)
Ti: 0.0000 0.0000 0.5000 (multiplicity 4)
Pd: 0.2500 0.2500 0.2500 (multiplicity 4)
W: 0.2500 0.2500 0.7500 (multiplicity 4)

Results
The calculation puts the calculated total energy at -154.59 eV for the cell shown. As for the magnetization: 0.00 μB per atom.

No. 4
Entry from Alexandria via LeMat-Bulk: crystalline TaTiPd2W at its relaxed geometry (PBE-GGA).

Cell: 4.4352 4.4352 4.8203 Å, 90.00 90.00 90.00°
Space group P4/mmm (No. 123)
Inequivalent atoms, fractional coordinates:
Ta: 0.0000 0.0000 0.0000 (multiplicity 1)
Ti: 0.0000 0.0000 0.5000 (multiplicity 1)
Pd: 0.0000 0.5000 0.5000 (multiplicity 2)
W: 0.5000 0.5000 0.0000 (multiplicity 1)

Results
The calculation puts the calculated total energy at -36.73 eV for the cell shown. The energy above the most stable polymorph in this dataset is 0.000 eV/atom. As for the magnetization: 0.00 μB per atom.

No. 5
Entry from Alexandria via LeMat-Bulk: crystalline TaTl3Pd at its relaxed geometry (PBE-GGA).

Cell: 5.4283 5.4283 5.4283 Å, 90.00 90.00 90.00°
Space group Pm-3m (No. 221)
Inequivalent atoms, fractional coordinates:
Ta: 0.0000 0.0000 0.0000 (multiplicity 1)
Tl: 0.0000 0.0000 0.5000 (multiplicity 3)
Pd: 0.5000 0.5000 0.5000 (multiplicity 1)

Results
The calculation puts the calculated total energy at -19.03 eV for the cell shown. The energy above the most stable polymorph in this dataset is 0.000 eV/atom. As for the magnetization: 0.00 μB per atom.

No. 6
Entry from Alexandria via LeMat-Bulk: crystalline TaTl2Pd at its relaxed geometry (PBE-GGA).

Cell: 6.8730 6.8730 6.8730 Å, 90.00 90.00 90.00°
Space group Fm-3m (No. 225)
Inequivalent atoms, fractional coordinates:
Ta: 0.0000 0.0000 0.0000 (multiplicity 4)
Tl: 0.2500 0.2500 0.2500 (multiplicity 8)
Pd: 0.0000 0.0000 0.5000 (multiplicity 4)

Results
The calculation puts the calculated total energy at -78.66 eV for the cell shown. The energy above the most stable polymorph in this dataset is 0.000 eV/atom. As for the magnetization: 0.26 μB per atom.

No. 7
Entry from Alexandria via LeMat-Bulk: crystalline TaTlPd6 at its relaxed geometry (PBE-GGA).

Cell: 4.0199 4.0199 8.0772 Å, 90.00 90.00 90.00°
Space group P4/mmm (No. 123)
Inequivalent atoms, fractional coordinates:
Ta: 0.0000 0.0000 0.0000 (multiplicity 1)
Tl: 0.0000 0.0000 0.5000 (multiplicity 1)
Pd: 0.0000 0.5000 0.2335 (multiplicity 4)
Pd: 0.5000 0.5000 0.0000 (multiplicity 1)
Pd: 0.5000 0.5000 0.5000 (multiplicity 1)

Results
The calculation puts the calculated total energy at -48.56 eV for the cell shown. As for the magnetization: 0.00 μB per atom.

No. 8
Entry from Alexandria via LeMat-Bulk: crystalline TaTl3Pd at its relaxed geometry (PBE-GGA).

Cell: 5.2177 5.2177 5.2177 Å, 90.00 90.00 90.00°
Space group Pm-3m (No. 221)
Inequivalent atoms, fractional coordinates:
Ta: 0.0000 0.0000 0.0000 (multiplicity 1)
Tl: 0.0000 0.5000 0.5000 (multiplicity 3)
Pd: 0.5000 0.5000 0.5000 (multiplicity 1)

Results
The calculation puts the calculated total energy at -18.85 eV for the cell shown. The energy above the most stable polymorph in this dataset is 0.036 eV/atom. As for the magnetization: 0.39 μB per atom.

Question: Which value of calculated total energy does entry 5 give?
Answer: -19.03 eV for the cell shown